A relaxed SrSbHW2 crystal, computed with GGA-PBE.

a b c (Å): 4.1494 5.2014 4.1494
angles (deg): 90.00 90.00 90.00
Last column: nearest neighbours and their distance in Å.
Sites, in units of the cell vectors:
Sb (0.0000, 0.5000, 0.0000)  2 H 2.60
H (0.0000, 0.0000, 0.0000)  4 W 2.07
W (0.5000, 0.0000, 0.0000)  2 H 2.07
W (0.0000, 0.0000, 0.5000)  2 H 2.07
Sr (0.5000, 0.5000, 0.5000)  4 Sb 2.93

ρ   10.72 Mg/m³
Calculated total energy   -6.206 eV/atom
SG   P4/mmm


A relaxed HoSb2Pd9 crystal, computed with GGA-PBE.

a b c (Å): 4.0782 4.0782 12.1846
angles (deg): 90.00 90.00 90.00
Last column: nearest neighbours and their distance in Å.
Sites, in units of the cell vectors:
Pd (0.5000, 0.0000, 0.8281)  2 Sb 2.83, 8 Pd 2.88-2.92, 2 Ho 2.92
Pd (0.0000, 0.5000, 0.8281)  2 Sb 2.83, 8 Pd 2.88-2.92, 2 Ho 2.92
Pd (0.5000, 0.5000, 0.0000)  4 Ho 2.88, 8 Pd 2.92
Pd (0.5000, 0.5000, 0.3383)  8 Pd 2.84-2.88, 4 Sb 2.88
Pd (0.5000, 0.0000, 0.1719)  2 Sb 2.83, 8 Pd 2.88-2.92, 2 Ho 2.92
Pd (0.0000, 0.5000, 0.1719)  2 Sb 2.83, 8 Pd 2.88-2.92, 2 Ho 2.92
Pd (0.5000, 0.0000, 0.5000)  8 Pd 2.84-2.88, 4 Sb 2.89
Pd (0.0000, 0.5000, 0.5000)  8 Pd 2.84-2.88, 4 Sb 2.89
Pd (0.5000, 0.5000, 0.6617)  8 Pd 2.84-2.88, 4 Sb 2.88
Sb (0.0000, 0.0000, 0.3324)  12 Pd 2.83-2.89
Sb (0.0000, 0.0000, 0.6676)  12 Pd 2.83-2.89
Ho (0.0000, 0.0000, 0.0000)  12 Pd 2.88-2.92

ρ   11.20 Mg/m³
Calculated total energy   -5.516 eV/atom
SG   P4/mmm


A relaxed Nd3Al4Rh2 crystal, computed with GGA-PBE.

a b c (Å): 4.5508 5.7695 8.4133
angles (deg): 100.84 90.00 113.23
Last column: nearest neighbours and their distance in Å.
Sites, in units of the cell vectors:
Al (0.2826, 0.5651, 0.9153)  1 Rh 2.48
Al (0.8926, 0.7852, 0.5875)  3 Rh 2.49-2.52
Al (0.7174, 0.4349, 0.0847)  1 Rh 2.48
Al (0.1074, 0.2148, 0.4125)  3 Rh 2.49-2.52
Nd (0.0000, 0.0000, 0.0000)  8 Al 3.21-3.42
Nd (0.3889, 0.7778, 0.2984)  4 Rh 3.07-3.24, 8 Al 3.19-3.33
Nd (0.6111, 0.2222, 0.7016)  4 Rh 3.07-3.24, 8 Al 3.19-3.33
Rh (0.3101, 0.6202, 0.6292)  4 Al 2.48-2.52
Rh (0.6899, 0.3798, 0.3708)  4 Al 2.48-2.52

ρ   6.24 Mg/m³
DFT formation energy   -0.65 eV per atom
Calculated total energy   -5.536 eV/atom
SG   C2/m


A relaxed Mg2SiPd crystal, computed with GGA-PBE.

a b c (Å): 3.3103 3.3103 6.1467
angles (deg): 90.00 90.00 90.00
Last column: nearest neighbours and their distance in Å.
Sites, in units of the cell vectors:
Mg (0.0000, 0.0000, 0.7390)  4 Pd 2.76, 4 Si 2.84, 1 Mg 2.94
Mg (0.0000, 0.0000, 0.2610)  4 Pd 2.76, 4 Si 2.84, 1 Mg 2.94
Si (0.5000, 0.5000, 0.0000)  8 Mg 2.84, 2 Pd 3.07
Pd (0.5000, 0.5000, 0.5000)  8 Mg 2.76, 2 Si 3.07

ρ   4.51 Mg/m³
Calculated total energy   -3.786 eV/atom
SG   P4/mmm


A relaxed MgBTe2W crystal, computed with GGA-PBE.

a b c (Å): 5.4137 4.1707 5.4137
angles (deg): 90.00 90.00 90.00
Last column: nearest neighbours and their distance in Å.
Sites, in units of the cell vectors:
Te (0.5000, 0.0000, 0.0000)  2 W 2.71
Te (0.0000, 0.0000, 0.5000)  2 W 2.71
W (0.0000, 0.0000, 0.0000)  2 B 2.09
B (0.0000, 0.5000, 0.0000)  2 W 2.09
Mg (0.5000, 0.5000, 0.5000)  8 Te 3.42

ρ   6.44 Mg/m³
Calculated total energy   -4.857 eV/atom
SG   P4/mmm


A relaxed In2Sn2Au7 crystal, computed with GGA-PBE.

a b c (Å): 5.6535 5.6535 7.4479
angles (deg): 83.15 83.15 88.89
Last column: nearest neighbours and their distance in Å.
Sites, in units of the cell vectors:
Au (0.7984, 0.4210, 0.1352)  1 Sn 2.80, 5 Au 2.86-2.99, 3 In 2.96-2.99
Au (0.0000, 0.0000, 0.0000)  6 Au 2.86-3.16, 2 In 3.03
Au (0.7687, 0.7687, 0.3863)  4 Sn 2.82-3.08, 2 Au 2.86, 1 In 2.94
Au (0.4210, 0.7984, 0.1352)  1 Sn 2.80, 5 Au 2.86-2.99, 3 In 2.96-2.99
Au (0.5790, 0.2016, 0.8648)  1 Sn 2.80, 5 Au 2.86-2.99, 3 In 2.96-2.99
Au (0.2313, 0.2313, 0.6137)  4 Sn 2.82-3.08, 2 Au 2.86, 1 In 2.94
Au (0.2016, 0.5790, 0.8648)  1 Sn 2.80, 5 Au 2.86-2.99, 3 In 2.96-2.99
Sn (0.2263, 0.7737, 0.5000)  6 Au 2.80-3.08
Sn (0.7737, 0.2263, 0.5000)  6 Au 2.80-3.08
In (0.2887, 0.2887, 0.2129)  8 Au 2.94-3.03
In (0.7113, 0.7113, 0.7871)  8 Au 2.94-3.03

ρ   13.06 Mg/m³
DFT formation energy   -0.11 eV per atom
Distance to the lowest polymorph of the same formula   0 meV per atom
Calculated total energy   -3.424 eV/atom
SG   C2/m


A relaxed LiScOs2 crystal, computed with GGA-PBE.

a b c (Å): 2.9955 4.5043 4.4350
angles (deg): 90.00 90.00 90.00
Last column: nearest neighbours and their distance in Å.
Sites, in units of the cell vectors:
Li (0.0000, 0.5000, 0.5000)  4 Os 2.68, 4 Sc 2.70, 2 Li 3.00
Os (0.5000, 0.5000, 0.0000)  4 Li 2.68, 6 Os 2.70-3.00
Os (0.0000, 0.0000, 0.0000)  4 Sc 2.68, 6 Os 2.70-3.00
Sc (0.5000, 0.0000, 0.5000)  4 Os 2.68, 4 Li 2.70, 2 Sc 3.00

ρ   12.00 Mg/m³
DFT formation energy   0.04 eV per atom
Distance to the lowest polymorph of the same formula   76 meV per atom
Calculated total energy   -7.634 eV/atom
SG   Pmmm


A relaxed Tb2PrDy3Bi6 crystal, computed with GGA-PBE.

a b c (Å): 4.5104 9.0195 10.0798
angles (deg): 102.87 102.93 90.00
Last column: nearest neighbours and their distance in Å.
Sites, in units of the cell vectors:
Dy (0.1654, 0.8321, 0.3308)  6 Bi 3.15-3.19
Dy (0.5000, 0.5000, 0.0000)  6 Bi 3.14-3.18
Dy (0.8346, 0.1679, 0.6692)  6 Bi 3.15-3.19
Bi (0.3337, 0.4165, 0.6674)  3 Dy 3.18, 3 Tb 3.18-3.19
Bi (0.3303, 0.9162, 0.6606)  3 Dy 3.15-3.19, 2 Tb 3.20, 1 Pr 3.25
Bi (0.6663, 0.5835, 0.3326)  3 Dy 3.18, 3 Tb 3.18-3.19
Bi (0.6697, 0.0838, 0.3394)  3 Dy 3.15-3.19, 2 Tb 3.20, 1 Pr 3.25
Bi (0.0005, 0.2577, 0.0010)  3 Dy 3.14-3.17, 1 Tb 3.19, 2 Pr 3.24
Bi (0.9995, 0.7423, 0.9990)  3 Dy 3.14-3.17, 1 Tb 3.19, 2 Pr 3.24
Tb (0.1674, 0.3335, 0.3347)  6 Bi 3.18-3.20
Tb (0.8326, 0.6665, 0.6653)  6 Bi 3.18-3.20
Pr (0.5000, 0.0000, 0.0000)  6 Bi 3.24-3.25

ρ   9.39 Mg/m³
DFT formation energy   -0.88 eV per atom
Calculated total energy   -5.140 eV/atom
SG   C2/m


A relaxed Mn2Hg2Ir crystal, computed with GGA-PBE.

a b c (Å): 6.6293 6.6293 4.1635
angles (deg): 90.00 90.00 90.00
Last column: nearest neighbours and their distance in Å.
Sites, in units of the cell vectors:
Mn (0.6439, 0.1439, 0.0000)  2 Ir 2.55, 1 Mn 2.70, 2 Hg 2.76
Mn (0.8561, 0.6439, 0.0000)  2 Ir 2.55, 1 Mn 2.70, 2 Hg 2.76
Mn (0.3561, 0.8561, 0.0000)  2 Ir 2.55, 1 Mn 2.70, 2 Hg 2.76
Mn (0.1439, 0.3561, 0.0000)  2 Ir 2.55, 1 Mn 2.70, 2 Hg 2.76
Hg (0.1624, 0.6624, 0.5000)  6 Mn 2.76-2.91, 1 Hg 3.05
Hg (0.6624, 0.8376, 0.5000)  6 Mn 2.76-2.91, 1 Hg 3.05
Hg (0.8376, 0.3376, 0.5000)  6 Mn 2.76-2.91, 1 Hg 3.05
Hg (0.3376, 0.1624, 0.5000)  6 Mn 2.76-2.91, 1 Hg 3.05
Ir (0.5000, 0.5000, 0.0000)  4 Mn 2.55
Ir (0.0000, 0.0000, 0.0000)  4 Mn 2.55

ρ   12.76 Mg/m³
DFT formation energy   0.51 eV per atom
Distance to the lowest polymorph of the same formula   0 meV per atom
Calculated total energy   -5.050 eV/atom
SG   P4/mbm


A relaxed Mg2CdSi2 crystal, computed with GGA-PBE.

a b c (Å): 7.9494 7.9494 3.0325
angles (deg): 90.00 90.00 90.00
Last column: nearest neighbours and their distance in Å.
Sites, in units of the cell vectors:
Mg (0.8130, 0.3130, 0.5000)  6 Si 2.76-2.86, 2 Mg 3.03
Mg (0.3130, 0.1870, 0.5000)  6 Si 2.76-2.86, 2 Mg 3.03
Mg (0.6870, 0.8130, 0.5000)  6 Si 2.76-2.86, 2 Mg 3.03
Mg (0.1870, 0.6870, 0.5000)  6 Si 2.76-2.86, 2 Mg 3.03
Si (0.6077, 0.1077, 0.0000)  1 Si 2.42
Si (0.3923, 0.8923, 0.0000)  1 Si 2.42
Si (0.8923, 0.6077, 0.0000)  1 Si 2.42
Si (0.1077, 0.3923, 0.0000)  1 Si 2.42
Cd (0.0000, 0.0000, 0.0000)  2 Cd 3.03, 4 Si 3.23, 8 Mg 3.27
Cd (0.5000, 0.5000, 0.0000)  2 Cd 3.03, 4 Si 3.23, 8 Mg 3.27

ρ   3.76 Mg/m³
Distance to the lowest polymorph of the same formula   0 meV per atom
Calculated total energy   -2.892 eV/atom
SG   P4/mbm


A relaxed La5NiC4 crystal, computed with GGA-PBE.

a b c (Å): 5.7870 6.6667 6.6667
angles (deg): 79.14 64.28 64.28
Last column: nearest neighbours and their distance in Å.
Sites, in units of the cell vectors:
La (0.1137, 0.2048, 0.5657)  3 C 2.52-2.73
La (0.3185, 0.5657, 0.7952)  3 C 2.52-2.73
La (0.8842, 0.7952, 0.4343)  3 C 2.52-2.73
La (0.6794, 0.4343, 0.2048)  3 C 2.52-2.73
La (0.4988, 0.0000, 0.0000)  4 C 2.72, 2 Ni 2.89
C (0.1963, 0.4075, 0.1981)  4 La 2.52-2.73
C (0.6038, 0.1981, 0.5925)  4 La 2.52-2.73
C (0.8019, 0.5925, 0.8019)  4 La 2.52-2.73
C (0.3944, 0.8019, 0.4075)  4 La 2.52-2.73
Ni (0.9989, 0.0000, 0.0000)  6 La 2.88-2.89

ρ   6.37 Mg/m³
DFT formation energy   0.25 eV per atom
Calculated total energy   -6.485 eV/atom
SG   I4/m


A relaxed Ho2Tm6Sc5 crystal, computed with GGA-PBE.

a b c (Å): 3.4410 11.2640 19.1443
angles (deg): 90.00 90.00 90.00
Last column: nearest neighbours and their distance in Å.
Sites, in units of the cell vectors:
Tm (0.5000, 0.1720, 0.6247)  2 Sc 3.07-3.13, 4 Tm 3.41-3.44
Tm (0.0000, 0.0890, 0.3663)  6 Sc 3.24-3.35, 1 Ho 3.30, 4 Tm 3.41-3.44
Tm (0.5000, 0.8280, 0.3753)  2 Sc 3.07-3.13, 4 Tm 3.41-3.44
Tm (0.0000, 0.9110, 0.6337)  6 Sc 3.24-3.35, 1 Ho 3.30, 4 Tm 3.41-3.44
Tm (0.0000, 0.9424, 0.9198)  6 Sc 3.28-3.43, 5 Tm 3.33-3.60, 1 Ho 3.49
Tm (0.5000, 0.3280, 0.1247)  2 Sc 3.07-3.13, 4 Tm 3.41-3.44
Tm (0.5000, 0.6720, 0.8753)  2 Sc 3.07-3.13, 4 Tm 3.41-3.44
Tm (0.0000, 0.5890, 0.1337)  6 Sc 3.24-3.35, 1 Ho 3.30, 4 Tm 3.41-3.44
Tm (0.0000, 0.5576, 0.4198)  6 Sc 3.28-3.43, 5 Tm 3.33-3.60, 1 Ho 3.49
Tm (0.0000, 0.0576, 0.0802)  6 Sc 3.28-3.43, 5 Tm 3.33-3.60, 1 Ho 3.49
Tm (0.0000, 0.4424, 0.5802)  6 Sc 3.28-3.43, 5 Tm 3.33-3.60, 1 Ho 3.49
Tm (0.0000, 0.4110, 0.8663)  6 Sc 3.24-3.35, 1 Ho 3.30, 4 Tm 3.41-3.44
Ho (0.0000, 0.6524, 0.7143)  4 Tm 3.30-3.54, 6 Sc 3.38-3.60, 2 Ho 3.44
Ho (0.0000, 0.8476, 0.2143)  4 Tm 3.30-3.54, 6 Sc 3.38-3.60, 2 Ho 3.44
Ho (0.0000, 0.3476, 0.2857)  4 Tm 3.30-3.54, 6 Sc 3.38-3.60, 2 Ho 3.44
Ho (0.0000, 0.1524, 0.7857)  4 Tm 3.30-3.54, 6 Sc 3.38-3.60, 2 Ho 3.44
Sc (0.5000, 0.1057, 0.2231)  5 Tm 3.13-3.28, 4 Ho 3.38-3.44, 2 Sc 3.44
Sc (0.5000, 0.6975, 0.5512)  7 Tm 3.35-3.67, 3 Sc 3.44-3.54, 2 Ho 3.60
Sc (0.5000, 0.0000, 0.5000)  6 Tm 3.07-3.24, 2 Sc 3.44
Sc (0.5000, 0.3025, 0.4488)  7 Tm 3.35-3.67, 3 Sc 3.44-3.54, 2 Ho 3.60
Sc (0.5000, 0.5000, 0.0000)  6 Tm 3.07-3.24, 2 Sc 3.44
Sc (0.5000, 0.1975, 0.9488)  7 Tm 3.35-3.67, 3 Sc 3.44-3.54, 2 Ho 3.60
Sc (0.5000, 0.8025, 0.0512)  7 Tm 3.35-3.67, 3 Sc 3.44-3.54, 2 Ho 3.60
Sc (0.5000, 0.8943, 0.7769)  5 Tm 3.13-3.28, 4 Ho 3.38-3.44, 2 Sc 3.44
Sc (0.5000, 0.3943, 0.7231)  5 Tm 3.13-3.28, 4 Ho 3.38-3.44, 2 Sc 3.44
Sc (0.5000, 0.6057, 0.2769)  5 Tm 3.13-3.28, 4 Ho 3.38-3.44, 2 Sc 3.44

ρ   7.02 Mg/m³
DFT formation energy   0.11 eV per atom
Calculated total energy   -5.089 eV/atom
SG   Pbam


What is the formula in the ninth record? Mn2Hg2Ir


Which of these has the lowest calculated total energy? LiScOs2


The highest calculated total energy belongs to which entry? Mg2CdSi2


Which formula does entry 4 have? Mg2SiPd